(1)
Below is NpSb2Pd4 after structural relaxation, with properties calculated at the GGA-PBE level.

a b c (Å): 4.376 7.919 7.919
angles (deg): 90.00 90.00 90.00
Last column: magnetic moment on the atom in μB.
Atoms (fractional coordinates):
Sb 0.000 0.214 0.786  -0.01
Sb 0.500 0.714 0.714  -0.01
Sb 0.000 0.786 0.214  -0.01
Sb 0.500 0.286 0.286  -0.01
Pd 0.500 0.145 0.600  0.01
Pd 0.500 0.600 0.145  0.01
Pd 0.000 0.900 0.645  0.01
Pd 0.000 0.100 0.355  0.01
Pd 0.000 0.355 0.100  0.01
Pd 0.000 0.645 0.900  0.01
Pd 0.500 0.855 0.400  0.01
Pd 0.500 0.400 0.855  0.01
Np 0.500 0.000 0.000  3.92
Np 0.000 0.500 0.500  3.92

## Properties
The polymorph energy (0 for the lowest one) comes out at 0.0 meV/atom. The density of states at the Fermi level is 21.977 states/eV/cell. The total moment is 4.11 μB/f.u.

=====

(2)
Below is LiTe2Pt after structural relaxation, with properties calculated at the GGA-PBE level.

a b c (Å): 8.516 8.516 8.516
angles (deg): 27.51 27.51 27.51
Atoms (fractional coordinates):
Te 0.891 0.891 0.891
Te 0.109 0.109 0.109
Li 0.000 0.000 0.000
Pt 0.500 0.500 0.500

## Properties
The density of states at the Fermi level is 3.149 states/eV/cell. For the total DFT energy (no corrections), the calculation gives -3.915 eV/atom. The total moment is 0.00 μB/f.u.

=====

| no. | calculated volume (Å³ per atom) |
| --- | --- |
| 1 | 19.60 |
| 2 | 29.08 |